Record 1
# LaDyNi2H8, optimized geometry, DFT PBE
data_LaDyNi2H8
_cell_length_a 4.4655
_cell_length_b 4.4655
_cell_length_c 19.7515
_cell_angle_alpha 90.00
_cell_angle_beta 90.00
_cell_angle_gamma 120.00
_symmetry_space_group_name_H-M 'R -3 m'
_symmetry_Int_Tables_number 166
_symmetry_space_group_name_Hall '-R 3 2"'
loop_
_atom_site_label
_atom_site_fract_x
_atom_site_fract_y
_atom_site_fract_z
_atom_site_occupancy
La1 0.0000 0.0000 0.0000 1
Dy1 0.0000 0.0000 0.5000 1
Ni1 0.0000 0.0000 0.2517 1
H1 0.0000 0.0000 0.3329 1
H2 0.0387 0.5194 0.5548 1
# * energy: -4.3104 eV/atom

Record 2
# Rb2LiHF6, optimized geometry, DFT PBE
data_Rb2LiHF6
_cell_length_a 5.4731
_cell_length_b 5.4731
_cell_length_c 9.8689
_cell_angle_alpha 90.00
_cell_angle_beta 90.00
_cell_angle_gamma 90.00
_symmetry_space_group_name_H-M 'I 4/m m m'
_symmetry_Int_Tables_number 139
_symmetry_space_group_name_Hall '-I 4 2'
loop_
_atom_site_label
_atom_site_fract_x
_atom_site_fract_y
_atom_site_fract_z
_atom_site_occupancy
Rb1 0.0000 0.5000 0.2500 1
Li1 0.0000 0.0000 0.0000 1
H1 0.0000 0.0000 0.5000 1
F1 0.0000 0.0000 0.1861 1
F2 0.1996 0.1996 0.5000 1
# * energy: -3.6071 eV/atom

Record 3
# La2ZrMo, optimized geometry, DFT PBE
data_La2ZrMo
_cell_length_a 7.3265
_cell_length_b 7.3265
_cell_length_c 7.3265
_cell_angle_alpha 90.00
_cell_angle_beta 90.00
_cell_angle_gamma 90.00
_symmetry_space_group_name_H-M 'F -4 3 m'
_symmetry_Int_Tables_number 216
_symmetry_space_group_name_Hall 'F -4 2 3'
loop_
_atom_site_label
_atom_site_fract_x
_atom_site_fract_y
_atom_site_fract_z
_atom_site_occupancy
La1 0.0000 0.0000 0.0000 1
La2 0.2500 0.2500 0.2500 1
Zr1 0.2500 0.2500 0.7500 1
Mo1 0.0000 0.0000 0.5000 1
# * formation enthalpy at 0 K: 0.422 eV per atom
# * energy above the most stable polymorph in this dataset: 0.90 eV per formula unit

The records above yield calculated volume values of 9.47; 14.78; 24.58 Å³/atom, respectively.